Entry 1:
PmB12: optimized geometry, GGA-PBE.

CIF file:
```
data_PmB12
_cell_length_a 7.560
_cell_length_b 7.560
_cell_length_c 7.560
_cell_angle_alpha 90.00
_cell_angle_beta 90.00
_cell_angle_gamma 90.00
_space_group_name_H-M_alt 'F m -3 m'
_space_group_IT_number 225
_space_group_name_Hall '-F 4 2 3'
loop_
_atom_site_label
_atom_site_type_symbol
_atom_site_fract_x
_atom_site_fract_y
_atom_site_fract_z
_atom_site_occupancy
Pm1 Pm 0.000 0.000 0.000 1
B1 B 0.000 0.168 0.332 1
```

---

Entry 2:
PmB: optimized geometry, GGA-PBE.

CIF file:
```
data_PmB
_cell_length_a 3.668
_cell_length_b 3.200
_cell_length_c 7.104
_cell_angle_alpha 90.00
_cell_angle_beta 104.70
_cell_angle_gamma 90.00
_space_group_name_H-M_alt 'P 1 21/m 1'
_space_group_IT_number 11
loop_
_space_group_symop_operation_xyz
'x,y,z'
'-x,-y,-z'
'-x,y+1/2,-z'
'x,-y+1/2,z'
loop_
_atom_site_label
_atom_site_type_symbol
_atom_site_fract_x
_atom_site_fract_y
_atom_site_fract_z
_atom_site_occupancy
Pm1 Pm 0.121 0.250 0.247 1
B1 B 0.481 0.250 0.961 1
```

---

Entry 3:
Pm4B: optimized geometry, GGA-PBE.

CIF file:
```
data_Pm4B
_cell_length_a 5.319
_cell_length_b 5.319
_cell_length_c 5.319
_cell_angle_alpha 90.00
_cell_angle_beta 90.00
_cell_angle_gamma 90.00
_space_group_name_H-M_alt 'P m -3 m'
_space_group_IT_number 221
_space_group_name_Hall '-P 4 2 3'
loop_
_atom_site_label
_atom_site_type_symbol
_atom_site_fract_x
_atom_site_fract_y
_atom_site_fract_z
_atom_site_occupancy
Pm1 Pm 0.000 0.000 0.000 1
Pm2 Pm 0.000 0.500 0.500 1
B1 B 0.500 0.500 0.500 1
```

---

Entry 4:
PmB4: optimized geometry, GGA-PBE.

CIF file:
```
data_PmB4
_cell_length_a 4.785
_cell_length_b 4.785
_cell_length_c 4.785
_cell_angle_alpha 90.00
_cell_angle_beta 90.00
_cell_angle_gamma 90.00
_space_group_name_H-M_alt 'P m -3 m'
_space_group_IT_number 221
_space_group_name_Hall '-P 4 2 3'
loop_
_atom_site_label
_atom_site_type_symbol
_atom_site_fract_x
_atom_site_fract_y
_atom_site_fract_z
_atom_site_occupancy
Pm1 Pm 0.000 0.000 0.000 1
B1 B 0.000 0.000 0.500 1
B2 B 0.500 0.500 0.500 1
```

energy relative to the lowest polymorph listed for this composition: 364.5 kJ/mol of atoms

---

Entry 5:
Pm3B: optimized geometry, GGA-PBE.

CIF file:
```
data_Pm3B
_cell_length_a 3.657
_cell_length_b 10.235
_cell_length_c 6.025
_cell_angle_alpha 90.00
_cell_angle_beta 90.00
_cell_angle_gamma 90.00
_space_group_name_H-M_alt 'I m m 2'
_space_group_IT_number 44
loop_
_space_group_symop_operation_xyz
'x,y,z'
'-x,-y,z'
'-x,y,z'
'x,-y,z'
'x+1/2,y+1/2,z+1/2'
'-x+1/2,-y+1/2,z+1/2'
'-x+1/2,y+1/2,z+1/2'
'x+1/2,-y+1/2,z+1/2'
loop_
_atom_site_label
_atom_site_type_symbol
_atom_site_fract_x
_atom_site_fract_y
_atom_site_fract_z
_atom_site_occupancy
Pm1 Pm 0.000 0.000 0.000 1
Pm2 Pm 0.000 0.174 0.464 1
B1 B 0.000 0.500 0.814 1
```

---

Entry 6:
PmPrB: optimized geometry, GGA-PBE.

CIF file:
```
data_PmPrB
_cell_length_a 4.041
_cell_length_b 5.590
_cell_length_c 7.074
_cell_angle_alpha 76.41
_cell_angle_beta 75.14
_cell_angle_gamma 82.90
_space_group_name_H-M_alt 'P 1'
_space_group_IT_number 1
loop_
_space_group_symop_operation_xyz
'x,y,z'
loop_
_atom_site_label
_atom_site_type_symbol
_atom_site_fract_x
_atom_site_fract_y
_atom_site_fract_z
_atom_site_occupancy
Pm1 Pm 0.000 0.000 0.000 1
Pm2 Pm 0.294 0.848 0.513 1
Pr1 Pr 0.358 0.465 0.133 1
Pr2 Pr 0.654 0.316 0.636 1
B1 B 0.696 0.777 0.790 1
B2 B 0.962 0.540 0.848 1
```

---

Entry 7:
PmPrB12: optimized geometry, GGA-PBE.

CIF file:
```
data_PmPrB12
_cell_length_a 8.272
_cell_length_b 8.272
_cell_length_c 8.272
_cell_angle_alpha 90.00
_cell_angle_beta 90.00
_cell_angle_gamma 90.00
_space_group_name_H-M_alt 'F m -3 m'
_space_group_IT_number 225
_space_group_name_Hall '-F 4 2 3'
loop_
_atom_site_label
_atom_site_type_symbol
_atom_site_fract_x
_atom_site_fract_y
_atom_site_fract_z
_atom_site_occupancy
Pm1 Pm 0.000 0.000 0.000 1
Pr1 Pr 0.000 0.000 0.500 1
B1 B 0.100 0.250 0.250 1
```

---

Entry 8:
PmB2Pt7: optimized geometry, GGA-PBE.

CIF file:
```
data_PmB2Pt7
_cell_length_a 7.065
_cell_length_b 11.367
_cell_length_c 4.219
_cell_angle_alpha 90.00
_cell_angle_beta 90.00
_cell_angle_gamma 90.00
_space_group_name_H-M_alt 'C m m m'
_space_group_IT_number 65
_space_group_name_Hall '-C 2 2'
loop_
_atom_site_label
_atom_site_type_symbol
_atom_site_fract_x
_atom_site_fract_y
_atom_site_fract_z
_atom_site_occupancy
Pm1 Pm 0.000 0.000 0.000 1
B1 B 0.000 0.310 0.500 1
Pt1 Pt 0.000 0.265 0.000 1
Pt2 Pt 0.000 0.500 0.500 1
Pt3 Pt 0.198 0.136 0.500 1
```

---

Entry 9:
PmB2Pt8: optimized geometry, GGA-PBE.

CIF file:
```
data_PmB2Pt8
_cell_length_a 5.310
_cell_length_b 5.310
_cell_length_c 7.433
_cell_angle_alpha 90.00
_cell_angle_beta 90.00
_cell_angle_gamma 90.00
_space_group_name_H-M_alt 'P 4/m m m'
_space_group_IT_number 123
_space_group_name_Hall '-P 4 2'
loop_
_atom_site_label
_atom_site_type_symbol
_atom_site_fract_x
_atom_site_fract_y
_atom_site_fract_z
_atom_site_occupancy
Pm1 Pm 0.000 0.000 0.000 1
B1 B 0.000 0.500 0.500 1
Pt1 Pt 0.252 0.252 0.313 1
```

---

Entry 10:
Pm2B3Pt8: optimized geometry, GGA-PBE.

CIF file:
```
data_Pm2B3Pt8
_cell_length_a 12.500
_cell_length_b 5.695
_cell_length_c 7.058
_cell_angle_alpha 90.00
_cell_angle_beta 112.15
_cell_angle_gamma 90.00
_space_group_name_H-M_alt 'C 1 m 1'
_space_group_IT_number 8
loop_
_space_group_symop_operation_xyz
'x,y,z'
'x,-y,z'
'x+1/2,y+1/2,z'
'x+1/2,-y+1/2,z'
loop_
_atom_site_label
_atom_site_type_symbol
_atom_site_fract_x
_atom_site_fract_y
_atom_site_fract_z
_atom_site_occupancy
Pm1 Pm 0.000 0.000 0.000 1
Pm2 Pm 0.021 0.500 0.604 1
B1 B 0.259 0.000 0.798 1
B2 B 0.259 0.271 0.299 1
Pt1 Pt 0.078 0.000 0.655 1
Pt2 Pt 0.122 0.500 0.277 1
Pt3 Pt 0.231 0.256 0.993 1
Pt4 Pt 0.291 0.256 0.607 1
Pt5 Pt 0.397 0.500 0.324 1
Pt6 Pt 0.441 0.000 0.947 1
```

---

Entry 11:
Pm2BPt4: optimized geometry, GGA-PBE.

CIF file:
```
data_Pm2BPt4
_cell_length_a 5.987
_cell_length_b 5.813
_cell_length_c 8.419
_cell_angle_alpha 90.00
_cell_angle_beta 110.91
_cell_angle_gamma 90.00
_space_group_name_H-M_alt 'P 1 21/m 1'
_space_group_IT_number 11
loop_
_space_group_symop_operation_xyz
'x,y,z'
'-x,-y,-z'
'-x,y+1/2,-z'
'x,-y+1/2,z'
loop_
_atom_site_label
_atom_site_type_symbol
_atom_site_fract_x
_atom_site_fract_y
_atom_site_fract_z
_atom_site_occupancy
Pm1 Pm 0.239 0.250 0.095 1
Pm2 Pm 0.247 0.750 0.433 1
B1 B 0.396 0.250 0.696 1
Pt1 Pt 0.186 0.250 0.444 1
Pt2 Pt 0.208 0.513 0.770 1
Pt3 Pt 0.334 0.750 0.072 1
```

energy relative to the lowest polymorph listed for this composition: 0.0 kJ/mol of atoms

---

Entry 12:
PmB2Pt10: optimized geometry, GGA-PBE.

CIF file:
```
data_PmB2Pt10
_cell_length_a 5.326
_cell_length_b 10.845
_cell_length_c 14.542
_cell_angle_alpha 90.00
_cell_angle_beta 90.00
_cell_angle_gamma 90.00
_space_group_name_H-M_alt 'F m m m'
_space_group_IT_number 69
_space_group_name_Hall '-F 2 2'
loop_
_atom_site_label
_atom_site_type_symbol
_atom_site_fract_x
_atom_site_fract_y
_atom_site_fract_z
_atom_site_occupancy
Pm1 Pm 0.000 0.000 0.000 1
B1 B 0.250 0.000 0.250 1
Pt1 Pt 0.000 0.126 0.364 1
Pt2 Pt 0.000 0.129 0.176 1
Pt3 Pt 0.250 0.250 0.000 1
```

---

Entry 13:
PmB2Pt3: optimized geometry, GGA-PBE.

CIF file:
```
data_PmB2Pt3
_cell_length_a 6.0368
_cell_length_b 6.0368
_cell_length_c 19.3835
_cell_angle_alpha 90.00
_cell_angle_beta 90.00
_cell_angle_gamma 120.00
_space_group_name_H-M_alt 'R -3 m'
_space_group_IT_number 166
_space_group_name_Hall '-R 3 2"'
loop_
_atom_site_label
_atom_site_type_symbol
_atom_site_fract_x
_atom_site_fract_y
_atom_site_fract_z
_atom_site_occupancy
Pm1 Pm 0.0000 0.0000 0.2050 1
B1 B 0.0000 0.0000 0.0000 1
B2 B 0.0000 0.5000 0.0000 1
Pt1 Pt 0.0054 0.5027 0.7304 1
```

---

Entry 14:
PmBPt: optimized geometry, GGA-PBE.

CIF file:
```
data_PmBPt
_cell_length_a 3.7725
_cell_length_b 3.7725
_cell_length_c 4.3865
_cell_angle_alpha 90.00
_cell_angle_beta 90.00
_cell_angle_gamma 120.00
_space_group_name_H-M_alt 'P 3 m 1'
_space_group_IT_number 156
loop_
_space_group_symop_operation_xyz
'x,y,z'
'-y,x-y,z'
'-x+y,-x,z'
'-y,-x,z'
'-x+y,y,z'
'x,x-y,z'
loop_
_atom_site_label
_atom_site_type_symbol
_atom_site_fract_x
_atom_site_fract_y
_atom_site_fract_z
_atom_site_occupancy
Pm1 Pm 0.0000 0.0000 0.0000 1
B1 B 0.3333 0.6667 0.4983 1
Pt1 Pt 0.6667 0.3333 0.5003 1
```

energy relative to the lowest polymorph listed for this composition: 0.0 kJ/mol of atoms

---

Entry 15:
Pm2BPt4: optimized geometry, GGA-PBE.

CIF file:
```
data_Pm2BPt4
_cell_length_a 5.675
_cell_length_b 5.675
_cell_length_c 9.061
_cell_angle_alpha 90.00
_cell_angle_beta 90.00
_cell_angle_gamma 90.00
_space_group_name_H-M_alt 'I 4/m m m'
_space_group_IT_number 139
_space_group_name_Hall '-I 4 2'
loop_
_atom_site_label
_atom_site_type_symbol
_atom_site_fract_x
_atom_site_fract_y
_atom_site_fract_z
_atom_site_occupancy
Pm1 Pm 0.000 0.500 0.250 1
B1 B 0.000 0.000 0.000 1
Pt1 Pt 0.241 0.241 0.500 1
```

energy relative to the lowest polymorph listed for this composition: 9.6 kJ/mol of atoms

---

Entry 16:
PmBPt4: optimized geometry, GGA-PBE.

CIF file:
```
data_PmBPt4
_cell_length_a 7.509
_cell_length_b 3.927
_cell_length_c 6.707
_cell_angle_alpha 90.00
_cell_angle_beta 90.00
_cell_angle_gamma 90.00
_space_group_name_H-M_alt 'P m m a'
_space_group_IT_number 51
loop_
_space_group_symop_operation_xyz
'x,y,z'
'-x,-y,-z'
'-x+1/2,-y,z'
'x+1/2,y,-z'
'x+1/2,-y,-z'
'-x+1/2,y,z'
'-x,y,-z'
'x,-y,z'
loop_
_atom_site_label
_atom_site_type_symbol
_atom_site_fract_x
_atom_site_fract_y
_atom_site_fract_z
_atom_site_occupancy
Pm1 Pm 0.250 0.000 0.100 1
B1 B 0.250 0.000 0.660 1
Pt1 Pt 0.000 0.000 0.500 1
Pt2 Pt 0.063 0.500 0.803 1
Pt3 Pt 0.250 0.500 0.446 1
```

---

Entry 17:
Pm3B2Pt9: optimized geometry, GGA-PBE.

CIF file:
```
data_Pm3B2Pt9
_cell_length_a 6.2240
_cell_length_b 6.2240
_cell_length_c 14.3653
_cell_angle_alpha 90.00
_cell_angle_beta 90.00
_cell_angle_gamma 120.00
_space_group_name_H-M_alt 'P 63/m m c'
_space_group_IT_number 194
_space_group_name_Hall '-P 6c 2c'
loop_
_atom_site_label
_atom_site_type_symbol
_atom_site_fract_x
_atom_site_fract_y
_atom_site_fract_z
_atom_site_occupancy
Pm1 Pm 0.0000 0.0000 0.2500 1
Pm2 Pm 0.3333 0.6667 0.0804 1
B1 B 0.3333 0.6667 0.6449 1
Pt1 Pt 0.0113 0.5057 0.7500 1
Pt2 Pt 0.1559 0.3118 0.5813 1
```

---

Entry 18:
PmB6Pt12: optimized geometry, GGA-PBE.

CIF file:
```
data_PmB6Pt12
_cell_length_a 10.7635
_cell_length_b 10.7635
_cell_length_c 8.1048
_cell_angle_alpha 90.00
_cell_angle_beta 90.00
_cell_angle_gamma 120.00
_space_group_name_H-M_alt 'R -3 m'
_space_group_IT_number 166
_space_group_name_Hall '-R 3 2"'
loop_
_atom_site_label
_atom_site_type_symbol
_atom_site_fract_x
_atom_site_fract_y
_atom_site_fract_z
_atom_site_occupancy
Pm1 Pm 0.0000 0.0000 0.0000 1
B1 B 0.0651 0.5325 0.3062 1
Pt1 Pt 0.0000 0.3713 0.5000 1
Pt2 Pt 0.0901 0.1802 0.3610 1
```

---

Entry 19:
PmBPt: optimized geometry, GGA-PBE.

CIF file:
```
data_PmBPt
_cell_length_a 3.785
_cell_length_b 3.785
_cell_length_c 7.853
_cell_angle_alpha 90.00
_cell_angle_beta 90.00
_cell_angle_gamma 90.00
_space_group_name_H-M_alt 'P 4/n m m'
_space_group_IT_number 129
loop_
_space_group_symop_operation_xyz
'x,y,z'
'-x,-y,-z'
'-y+1/2,x,z'
'y+1/2,-x,-z'
'-x+1/2,-y+1/2,z'
'x+1/2,y+1/2,-z'
'y,-x+1/2,z'
'-y,x+1/2,-z'
'x+1/2,-y,-z'
'-x+1/2,y,z'
'-y,-x,-z'
'y,x,z'
'-x,y+1/2,-z'
'x,-y+1/2,z'
'y+1/2,x+1/2,-z'
'-y+1/2,-x+1/2,z'
loop_
_atom_site_label
_atom_site_type_symbol
_atom_site_fract_x
_atom_site_fract_y
_atom_site_fract_z
_atom_site_occupancy
Pm1 Pm 0.250 0.250 0.186 1
B1 B 0.250 0.250 0.665 1
Pt1 Pt 0.250 0.750 0.500 1
```

energy relative to the lowest polymorph listed for this composition: 19.9 kJ/mol of atoms

---

Entry 20:
PmB2Pt4: optimized geometry, GGA-PBE.

CIF file:
```
data_PmB2Pt4
_cell_length_a 4.236
_cell_length_b 5.628
_cell_length_c 9.200
_cell_angle_alpha 90.00
_cell_angle_beta 90.00
_cell_angle_gamma 90.00
_space_group_name_H-M_alt 'I m m m'
_space_group_IT_number 71
_space_group_name_Hall '-I 2 2'
loop_
_atom_site_label
_atom_site_type_symbol
_atom_site_fract_x
_atom_site_fract_y
_atom_site_fract_z
_atom_site_occupancy
Pm1 Pm 0.000 0.000 0.000 1
B1 B 0.214 0.500 0.000 1
Pt1 Pt 0.000 0.236 0.347 1
```

---

Ordered total moment results: 0.00 0.00 0.00 0.00 0.00 0.00 0.00 0.00 0.00 0.00 0.00 0.00 0.00 0.00 0.00 0.00 0.00 0.00 0.00 0.00; unit μB/cell.
Ordered formation energy results: -0.208 -0.330 0.130 3.201 0.152 -0.001 -0.476 -0.294 -0.044 -0.513 -0.957 -0.242 -0.280 -0.632 -0.858 -0.579 -0.835 -0.299 -0.426 -0.368; unit eV per atom.